No. 1
VASP calculation (PBE-GGA) on a relaxed NdDyY4 crystal.

```
NdDyY4
1.0
-3.146 8.927 2.776
-5.261 -2.059 0.659
6.693 0.508 5.953
Y Nd Dy
8 2 2
Cartesian
3.174 1.358 5.072
0.018 1.816 5.864
-2.788 0.063 2.466
-0.683 2.587 2.601
-4.888 6.018 4.316
-1.031 4.788 6.787
-1.733 5.559 3.524
1.073 7.312 6.922
0.000 0.000 0.000
-4.204 3.434 1.717
1.774 4.717 4.364
0.716 -0.776 3.306
```

Properties
For the polymorph energy (0 for the lowest one), the calculation gives 0 meV per atom. Its space group is P6/mmm, No. 191.

***

No. 2
VASP calculation (PBE-GGA) on a relaxed Nd5DyY3 crystal.

```
Nd5DyY3
1.0
-8.393 2.115 -4.310
-6.702 -4.871 4.984
-9.739 4.398 5.078
Dy Nd Y
2 10 6
Cartesian
-16.707 -0.531 2.640
-8.128 2.173 3.112
-7.130 -3.104 2.633
-11.883 1.271 -0.629
-11.030 -2.254 4.059
-7.966 0.348 -1.959
-12.952 0.371 6.382
-13.805 3.895 1.693
-3.148 -0.276 0.365
-15.105 1.954 4.217
-9.730 -0.312 1.536
-21.687 1.918 5.387
-6.494 -0.106 1.101
-13.428 -0.276 2.235
-4.870 2.199 2.539
-11.407 1.918 3.517
-18.341 1.748 4.651
0.000 0.000 0.000
```

Properties
For the polymorph energy (0 for the lowest one), the calculation gives 215 meV per atom. Its space group is C2/m, No. 12.

***

No. 3
VASP calculation (PBE-GGA) on a relaxed NdDy6Y12 crystal.

```
NdDy6Y12
1.0
1.357 8.628 -0.346
-0.775 -2.466 9.075
7.964 1.887 4.695
Y Dy Nd
12 6 1
Cartesian
0.565 0.204 7.101
3.496 5.632 6.722
7.981 7.845 6.323
5.050 2.417 6.703
0.279 0.108 3.565
1.606 2.772 1.600
6.379 5.098 4.722
2.167 2.951 8.702
6.940 5.277 11.825
8.267 7.941 9.859
3.771 5.714 10.288
4.775 2.335 3.136
1.880 2.866 5.136
3.736 -0.245 8.658
3.215 5.530 3.176
4.811 8.294 4.767
5.331 2.519 10.249
6.667 5.183 8.288
0.000 0.000 0.000
```

Properties
For the polymorph energy (0 for the lowest one), the calculation gives 0 meV per atom. Its space group is R-3, No. 148.

***

No. 4
VASP calculation (PBE-GGA) on a relaxed Nd4Dy4Y crystal.

```
Nd4Dy4Y
1.0
5.092 0.000 0.000
2.546 7.661 0.000
2.546 0.000 7.661
Nd Dy Y
4 4 1
Cartesian
5.092 0.001 5.099
7.638 5.099 7.660
2.546 2.562 0.001
5.092 7.660 2.562
5.092 5.093 5.094
7.638 5.094 2.568
2.546 2.567 5.093
5.092 2.568 2.567
0.000 0.000 0.000
```

Properties
Its space group is I4/mmm, No. 139.

***

No. 5
VASP calculation (PBE-GGA) on a relaxed Nd3Dy4Y8 crystal.

```
Nd3Dy4Y8
1.0
-1.602 -3.583 -5.523
8.832 -1.517 2.588
-2.557 -4.447 7.791
Nd Y Dy
3 8 4
Cartesian
-2.079 -4.015 1.134
2.337 -4.774 2.428
3.615 -2.550 -1.468
3.852 -6.018 5.044
1.614 -1.582 2.642
4.769 -2.563 4.445
1.507 -3.402 5.935
0.822 -3.530 -0.188
5.167 -4.046 1.135
-0.493 -5.501 3.721
3.060 -7.965 2.214
-0.801 -1.792 -2.762
4.416 -0.759 1.294
0.000 0.000 0.000
-1.279 -2.223 3.895
```

Properties
Its space group is C2/m, No. 12.

***

No. 6
VASP calculation (PBE-GGA) on a relaxed Nd4Dy3Y8 crystal.

```
Nd4Dy3Y8
1.0
-4.099 -5.093 2.528
2.735 -4.997 4.084
-2.734 3.237 11.805
Y Nd Dy
8 4 3
Cartesian
-1.714 -6.749 7.941
-3.087 -4.239 5.889
-1.059 -1.614 4.749
-3.039 -5.240 13.669
0.346 -4.191 6.671
-2.384 -0.104 10.477
-4.444 -2.663 11.747
-1.010 -2.615 12.529
-3.168 -0.185 13.924
-2.049 -3.427 9.209
-0.930 -6.668 4.494
0.000 0.000 0.000
0.001 -0.880 7.945
-1.367 1.618 5.903
-3.416 -0.928 7.167
```

Properties
For the polymorph energy (0 for the lowest one), the calculation gives 0 meV per atom. Its space group is R-3m, No. 166.

***

No. 7
VASP calculation (PBE-GGA) on a relaxed Nd2DyY8 crystal.

```
Nd2DyY8
1.0
-3.727 0.146 4.609
-8.772 -2.216 -0.823
-2.612 -8.755 1.266
Dy Y Nd
1 8 2
Cartesian
-1.864 0.073 2.305
-7.114 -3.476 0.502
-7.998 -7.349 4.550
-9.897 -5.330 2.181
-4.815 -0.893 1.023
-7.685 -1.177 2.763
-10.541 -8.718 0.997
-5.215 -5.495 2.871
-4.571 -2.107 4.055
-7.687 -6.896 0.203
-3.698 -4.075 0.239
```

Properties
Its space group is C2/m, No. 12.

***

No. 8
VASP calculation (PBE-GGA) on a relaxed NdDy4Y crystal.

```
NdDy4Y
1.0
-3.214 -3.739 -1.026
6.423 -3.108 3.602
-8.635 7.298 0.379
Dy Nd Y
4 1 1
Cartesian
-2.724 -1.529 1.737
-8.635 3.768 0.893
-2.701 1.980 1.218
3.209 -3.318 2.062
0.499 -1.328 3.278
3.209 -6.847 2.576
```

Properties
For the polymorph energy (0 for the lowest one), the calculation gives 0 meV per atom. Its space group is P-1, No. 2.

***

No. 9
VASP calculation (PBE-GGA) on a relaxed Nd2Dy5Y5 crystal.

```
Nd2Dy5Y5
1.0
4.944 0.000 1.078
2.054 7.325 2.458
0.250 -0.181 10.734
Y Nd Dy
5 2 5
Cartesian
4.916 4.710 13.089
2.332 2.435 1.180
4.003 6.683 5.395
3.624 3.572 7.135
3.245 0.461 8.875
5.578 2.924 10.054
1.671 4.220 4.215
5.955 6.027 8.321
1.293 1.117 5.948
4.285 1.770 4.105
0.000 0.000 0.000
2.964 5.374 10.165
```

Properties
Its space group is C2/m, No. 12.

***

No. 10
VASP calculation (PBE-GGA) on a relaxed Nd5Dy12Y crystal.

```
Nd5Dy12Y
1.0
-9.172 6.444 3.625
-9.820 -1.313 -3.368
-0.958 -3.759 4.260
Dy Nd Y
12 5 1
Cartesian
-7.384 0.772 6.784
-11.593 0.667 1.872
-2.306 -0.613 2.866
-6.525 -0.696 -2.077
-14.419 2.647 2.994
-2.746 1.913 1.100
-8.356 0.705 2.644
-7.824 3.297 5.018
-13.425 2.068 6.593
-10.331 -2.448 3.303
-9.618 3.819 1.213
-5.530 -1.275 1.522
-8.865 -1.951 0.181
-12.948 3.172 -0.113
-6.043 1.959 0.370
-5.065 1.342 3.942
-11.084 3.322 4.335
0.000 0.000 0.000
```

Properties
Its space group is C2/m, No. 12.

***

No. 11
VASP calculation (PBE-GGA) on a relaxed Nd4Dy2Y3 crystal.

```
Nd4Dy2Y3
1.0
-1.829 -4.794 3.555
-0.665 -6.076 -1.268
10.512 1.571 2.117
Dy Nd Y
2 4 3
Cartesian
0.688 -6.908 2.000
7.331 -2.391 2.403
1.661 -4.273 4.257
0.339 -3.446 0.997
7.679 -5.853 3.407
6.358 -5.026 0.147
0.000 0.000 0.000
3.854 -2.930 1.707
4.165 -6.369 2.696
```

Properties
For the polymorph energy (0 for the lowest one), the calculation gives 0 meV per atom. Its space group is C2/m, No. 12.

***

No. 12
VASP calculation (PBE-GGA) on a relaxed Nd3Dy2Y7 crystal.

```
Nd3Dy2Y7
1.0
-0.440 3.035 1.826
-3.643 2.322 -4.737
-14.184 -6.654 7.645
Y Nd Dy
7 3 2
Cartesian
-13.026 -4.793 4.831
-8.201 -1.231 3.560
-3.220 0.813 1.362
-15.048 -2.110 3.372
-4.802 0.461 -1.923
0.000 0.000 0.000
-10.066 -0.066 1.173
-8.458 0.057 -2.133
-9.369 -4.390 5.041
-2.041 2.678 -1.456
-11.589 -1.821 3.724
-6.678 0.524 1.009
```

Properties
For the polymorph energy (0 for the lowest one), the calculation gives 0 meV per atom. Its space group is P2/m, No. 10.

***

No. 13
VASP calculation (PBE-GGA) on a relaxed Nd8DyY2 crystal.

```
Nd8DyY2
1.0
5.768 1.722 0.000
2.749 8.784 0.000
1.374 4.392 8.347
Y Nd Dy
2 8 1
Cartesian
1.374 4.392 3.170
2.749 8.784 5.178
4.579 11.585 6.372
5.312 3.313 1.976
5.646 6.277 0.000
5.633 9.645 3.418
3.205 7.193 1.976
4.259 5.253 4.929
6.687 7.705 6.372
2.871 4.229 0.000
2.884 0.861 0.000
```

Properties
For the polymorph energy (0 for the lowest one), the calculation gives 122 meV per atom. Its space group is C2/m, No. 12.

***

No. 14
VASP calculation (PBE-GGA) on a relaxed NdDy7Y4 crystal.

```
NdDy7Y4
1.0
6.398 -1.856 2.697
0.720 5.759 2.245
2.851 -2.329 10.794
Dy Y Nd
7 4 1
Cartesian
4.595 2.311 9.835
2.637 -0.110 8.033
1.958 2.419 1.807
7.332 1.684 7.703
3.199 -0.928 1.348
5.373 -0.737 5.901
8.010 -0.845 13.929
2.175 0.191 4.550
5.841 -1.023 9.383
7.793 1.383 11.186
4.127 2.597 6.353
0.000 0.000 0.000
```

Properties
For the polymorph energy (0 for the lowest one), the calculation gives 0 meV per atom. Its space group is P-1, No. 2.

***

No. 15
VASP calculation (PBE-GGA) on a relaxed NdDy2Y7 crystal.

```
NdDy2Y7
1.0
3.520 -0.023 -0.014
-0.026 10.420 -11.077
-0.026 -5.131 14.316
Y Nd Dy
7 1 2
Cartesian
2.680 5.490 -0.167
1.734 2.633 1.613
2.680 2.346 4.966
-0.026 -0.584 6.892
0.788 -0.224 3.392
0.788 2.920 -1.741
-0.026 5.873 -3.652
0.000 0.000 0.000
1.734 -2.162 9.442
1.734 7.428 -6.217
```

Properties
For the polymorph energy (0 for the lowest one), the calculation gives 0 meV per atom. Its space group is C2/m, No. 12.

***

No. 16
VASP calculation (PBE-GGA) on a relaxed Nd12DyY6 crystal.

```
Nd12DyY6
1.0
-5.285 -7.450 -3.747
9.632 -2.166 0.056
-3.149 2.377 9.050
Nd Y Dy
12 6 1
Cartesian
5.590 -5.393 -0.833
1.663 0.034 2.347
-4.392 -1.845 6.191
6.424 -1.556 4.164
-2.156 -1.319 1.373
1.433 0.218 7.676
1.117 -2.483 -0.930
0.081 -4.756 6.289
-5.226 -5.682 1.194
-0.235 -7.456 -2.318
3.354 -5.919 3.985
-0.465 -7.272 3.012
-2.888 -3.853 3.441
1.971 -5.581 0.022
-1.585 -5.394 0.472
2.783 -1.845 4.887
-0.773 -1.658 5.337
4.086 -3.385 1.917
0.000 0.000 0.000
```

Properties
For the polymorph energy (0 for the lowest one), the calculation gives 272 meV per atom. Its space group is R-3m, No. 166.

***

No. 17
VASP calculation (PBE-GGA) on a relaxed Nd4Dy4Y crystal.

```
Nd4Dy4Y
1.0
5.820 0.585 2.144
3.552 6.200 3.722
2.650 1.680 10.338
Nd Dy Y
4 4 1
Cartesian
4.685 1.418 7.956
8.390 4.058 12.210
7.336 7.047 8.249
3.631 4.407 3.994
6.630 2.928 5.329
4.527 4.971 7.433
7.494 3.494 8.771
5.391 5.537 10.875
2.910 0.292 1.072
```

Properties
Its space group is P-1, No. 2.

***

No. 18
VASP calculation (PBE-GGA) on a relaxed NdDy12Y3 crystal.

```
NdDy12Y3
1.0
5.032 0.000 0.000
0.000 5.032 0.000
0.000 0.000 20.115
Nd Dy Y
1 12 3
Cartesian
0.000 0.000 0.000
2.516 2.516 0.000
0.000 2.516 7.550
2.516 2.516 15.064
2.516 0.000 7.550
2.516 2.516 5.051
2.516 0.000 17.579
2.516 2.516 10.057
0.000 2.516 2.536
0.000 2.516 12.565
2.516 0.000 2.536
2.516 0.000 12.565
0.000 2.516 17.579
0.000 0.000 10.057
0.000 0.000 15.073
0.000 0.000 5.042
```

Properties
Its space group is P4/mmm, No. 123.

***

No. 19
VASP calculation (PBE-GGA) on a relaxed Nd6Dy2Y5 crystal.

```
Nd6Dy2Y5
1.0
3.648 0.000 0.000
0.000 11.756 0.000
0.000 0.000 20.698
Nd Y Dy
12 10 4
Cartesian
1.824 7.906 17.919
0.000 0.956 7.567
1.824 9.727 7.570
0.000 0.735 1.630
0.000 6.613 8.720
0.000 11.021 19.069
0.000 5.143 11.979
0.000 6.834 2.782
0.000 4.922 17.916
0.000 10.799 13.131
1.824 2.028 13.129
1.824 3.850 2.779
1.824 8.207 11.536
1.824 9.427 1.187
1.824 5.878 0.000
1.824 2.329 19.511
1.824 3.549 9.162
1.824 6.963 5.694
1.824 10.670 16.043
1.824 4.793 15.004
1.824 1.085 4.655
1.824 0.000 10.349
0.000 7.841 14.730
0.000 1.963 16.317
0.000 9.793 4.381
0.000 3.915 5.968
```

Properties
Its space group is Pbam, No. 55.

***

How do the records compare in ΔE_f? In the order shown, they have 6.49, 47.01, 2.13, 1.61, 37.61, 12.02, 15.01, 1.92, 2.01, 8.62, 1.57, 7.37, 13.15, -0.12, 11.05, 38.95, 1.47, 1.98, 9.55 kJ/mol of atoms.